(1)
Entry from the Alexandria database: a relaxed LaZr2In crystal (PBE).

Calculated values
- ρ (g/cm³) = 7.1
- crystal system = tetragonal
- energy relative to the elements (eV/f.u.) = -0.274

Unit cell a=5.7202 b=5.7202 c=5.7202 alpha=131.97 beta=131.97 gamma=70.28
Fractional positions:
Zr 0.0000 0.0000 0.0000
Zr 0.5000 0.5000 0.0000
La 0.7500 0.2500 0.5000
In 0.2500 0.7500 0.5000

(2)
Entry from the Alexandria database: a relaxed CrRePb4 crystal (PBE).

Calculated values
- ρ (g/cm³) = 10.2
- crystal system = cubic
- energy relative to the elements (eV/f.u.) = 8.295

Unit cell a=6.2590 b=6.2590 c=6.2590 alpha=60.00 beta=60.00 gamma=60.00
Fractional positions:
Pb 0.3754 0.3754 0.3754
Pb 0.3754 0.8738 0.3754
Pb 0.3754 0.3754 0.8738
Pb 0.8738 0.3754 0.3754
Re 0.7500 0.7500 0.7500
Cr 0.0000 0.0000 0.0000

(3)
Entry from the Alexandria database: a relaxed Tb2Ho15Th2 crystal (PBE).

Calculated values
- ρ (g/cm³) = 8.6
- crystal system = trigonal
- energy relative to the elements (eV/f.u.) = 5.587

Unit cell a=8.7015 b=8.7015 c=8.7015 alpha=78.91 beta=78.91 gamma=78.91
Fractional positions:
Ho 0.0000 0.6996 0.3004
Ho 0.6313 0.1463 0.6313
Ho 0.6996 0.0000 0.3004
Ho 0.3687 0.8537 0.3687
Ho 0.3004 0.6996 0.0000
Ho 0.3004 0.0000 0.6996
Ho 0.5000 0.0000 0.0000
Ho 0.6996 0.3004 0.0000
Ho 0.8537 0.3687 0.3687
Ho 0.0000 0.5000 0.0000
Ho 0.1463 0.6313 0.6313
Ho 0.0000 0.0000 0.5000
Ho 0.0000 0.3004 0.6996
Ho 0.3687 0.3687 0.8537
Ho 0.6313 0.6313 0.1463
Th 0.9117 0.9117 0.9117
Th 0.0883 0.0883 0.0883
Tb 0.6821 0.6821 0.6821
Tb 0.3179 0.3179 0.3179

- Among the records above, which one has the lowest ρ?
  LaZr2In